(1)
A relaxed MnCrSeS crystal. Source: Alexandria via LeMat-Bulk, functional GGA-PBE.

As for the uncorrected formation energy: -399 meV/atom.

abc: 6.3301 6.3301 6.3301
angles: 33.51 33.51 33.51
With the nearest neighbours (Å) after each atom.
Element x y z (fractional)
Mn 0.0000 0.0000 0.0000  3 S 2.54, 3 Se 2.68
Cr 0.4882 0.4882 0.4882  3 S 2.51, 3 Se 2.61
Se 0.2409 0.2409 0.2409  3 Cr 2.61, 3 Mn 2.68
S 0.7458 0.7458 0.7458  3 Cr 2.51, 3 Mn 2.54

---

(2)
A relaxed MnCr2SiS6 crystal. Source: Alexandria via LeMat-Bulk, functional GGA-PBE.

As for the uncorrected formation energy: -554 meV/atom.

abc: 6.4874 6.4874 6.4874
angles: 55.68 55.68 55.68
With the nearest neighbours (Å) after each atom.
Element x y z (fractional)
Mn 0.0000 0.0000 0.0000  6 S 2.44-2.58
Cr 0.2983 0.2983 0.2983  6 S 2.42-2.45
Cr 0.8029 0.8029 0.8029  6 S 2.38-2.43
Si 0.4915 0.4915 0.4915  6 S 2.32-2.34
S 0.0986 0.6918 0.4104  1 Si 2.34, 2 Cr 2.38-2.45, 1 Mn 2.44
S 0.2164 0.5839 0.8829  1 Si 2.32, 2 Cr 2.42-2.43, 1 Mn 2.58
S 0.4104 0.0986 0.6918  1 Si 2.34, 2 Cr 2.38-2.45, 1 Mn 2.44
S 0.5839 0.8829 0.2164  1 Si 2.32, 2 Cr 2.42-2.43, 1 Mn 2.58
S 0.6918 0.4104 0.0986  1 Si 2.34, 2 Cr 2.38-2.45, 1 Mn 2.44
S 0.8829 0.2164 0.5839  1 Si 2.32, 2 Cr 2.42-2.43, 1 Mn 2.58

---

(3)
A relaxed Sm2MnCrS6 crystal. Source: Alexandria via LeMat-Bulk, functional GGA-PBE.

As for the uncorrected formation energy: -1334 meV/atom.

abc: 6.2990 6.9877 10.9302
angles: 90.00 124.56 90.00
With the nearest neighbours (Å) after each atom.
Element x y z (fractional)
Sm 0.2087 0.1049 0.2499  7 S 2.78-3.08
Sm 0.2087 0.3951 0.7499  7 S 2.78-3.08
Sm 0.7913 0.6049 0.2501  7 S 2.78-3.08
Sm 0.7913 0.8951 0.7501  7 S 2.78-3.08
Mn 0.5000 0.0000 0.0000  6 S 2.36-2.54
Mn 0.5000 0.5000 0.5000  6 S 2.36-2.54
Cr 0.0000 0.0000 0.5000  6 S 2.40-2.49
Cr 0.0000 0.5000 0.0000  6 S 2.40-2.49
S 0.1262 0.1882 0.9492  1 Mn 2.47, 1 Cr 2.49
S 0.1262 0.3118 0.4492  1 Mn 2.47, 1 Cr 2.49
S 0.2656 0.6829 0.9476  1 Cr 2.42, 1 Mn 2.54
S 0.2656 0.8171 0.4476  1 Cr 2.42, 1 Mn 2.54
S 0.3692 0.0241 0.7513  1 Mn 2.36, 1 Cr 2.40
S 0.3692 0.4759 0.2513  1 Mn 2.36, 1 Cr 2.40
S 0.6308 0.5241 0.7487  1 Mn 2.36, 1 Cr 2.40
S 0.6308 0.9759 0.2487  1 Mn 2.36, 1 Cr 2.40
S 0.7344 0.1829 0.5524  1 Cr 2.42, 1 Mn 2.54
S 0.7344 0.3171 0.0524  1 Cr 2.42, 1 Mn 2.54
S 0.8738 0.6882 0.5508  1 Mn 2.47, 1 Cr 2.49
S 0.8738 0.8118 0.0508  1 Mn 2.47, 1 Cr 2.49

---

(4)
A relaxed Mn2Cr3SnS8 crystal. Source: Alexandria via LeMat-Bulk, functional GGA-PBE.

As for the uncorrected formation energy: -493 meV/atom.

abc: 7.3379 7.3379 7.3379
angles: 55.20 55.20 55.20
With the nearest neighbours (Å) after each atom.
Element x y z (fractional)
Mn 0.0000 0.0000 0.0000  4 S 2.27-2.31
Mn 0.3834 0.3834 0.3834  6 S 2.46-2.48
Cr 0.3459 0.3459 0.9311  6 S 2.25-2.48
Cr 0.3459 0.9311 0.3459  6 S 2.25-2.48
Cr 0.9311 0.3459 0.3459  6 S 2.25-2.48
Sn 0.7339 0.7339 0.7339  4 S 2.51-2.65
S 0.1244 0.1244 0.1244  3 Cr 2.25, 1 Mn 2.31
S 0.1386 0.1386 0.5956  2 Mn 2.27-2.48, 2 Cr 2.31
S 0.1386 0.5956 0.1386  2 Mn 2.27-2.48, 2 Cr 2.31
S 0.1664 0.6264 0.6264  2 Cr 2.45, 1 Mn 2.46, 1 Sn 2.51
S 0.5912 0.5912 0.5912  3 Cr 2.48, 1 Sn 2.65
S 0.5956 0.1386 0.1386  2 Mn 2.27-2.48, 2 Cr 2.31
S 0.6264 0.1664 0.6264  2 Cr 2.45, 1 Mn 2.46, 1 Sn 2.51
S 0.6264 0.6264 0.1664  2 Cr 2.45, 1 Mn 2.46, 1 Sn 2.51

---

| no. | calculated total energy (eV/atom) |
| --- | --- |
| 1 | -7.0006 |
| 2 | -6.4148 |
| 3 | -6.6335 |
| 4 | -6.5096 |